Material: FeAgO3
Method: DFT, PBE with a Hubbard U
State: relaxed

Cell lengths 3.7980, 3.7980, 3.7980 Å; angles 90.00, 90.00, 90.00 degrees
Sites, in units of the cell vectors:
Ag 0.5000 0.5000 0.5000
O 0.0000 0.0000 0.5000
O 0.0000 0.5000 0.0000
O 0.5000 0.0000 0.0000
Fe 0.0000 0.0000 0.0000

Summary:
Its calculated total energy is -25.12 eV/cell.